# SrOsBr2 GGA-PBEsol relaxed
# Calculated volume   200 Å³/cell
# Energy above the most stable polymorph in this dataset   0 meV/atom
# Calculated total energy   -4.469 eV per atom
# Formation energy without anion corrections   -0.020 eV per atom
data_SrOsBr2
_cell_length_a 16.4755
_cell_length_b 3.3562
_cell_length_c 3.6258
_cell_angle_alpha 90.00
_cell_angle_beta 90.03
_cell_angle_gamma 90.00
_symmetry_space_group_name_H-M 'C 1 m 1'
_symmetry_Int_Tables_number 8
loop_
_symmetry_equiv_pos_as_xyz
'x,y,z'
'x,-y,z'
'x+1/2,y+1/2,z'
'x+1/2,-y+1/2,z'
loop_
_atom_site_label
_atom_site_fract_x
_atom_site_fract_y
_atom_site_fract_z
_atom_site_occupancy
Sr1 0.0000 0.0000 0.0000 1
Os1 0.3559 0.0000 0.4972 1
Br1 0.1084 0.5000 0.4999 1
Br2 0.3123 0.5000 0.9971 1